Arrangement w

Below is a relaxed Sb2C crystal, with properties calculated at the GGA-PBE level.

Values from the calculation:
The symmetry is No. 205. As for the crystal system: cubic.

Cell: 6.187 6.187 6.187 Å, 90.00 90.00 90.00°
Fractional positions:
1 Sb 0.142 0.142 0.142
2 Sb 0.142 0.358 0.642
3 Sb 0.358 0.642 0.142
4 Sb 0.358 0.858 0.642
5 Sb 0.642 0.142 0.358
6 Sb 0.642 0.358 0.858
7 Sb 0.858 0.642 0.358
8 Sb 0.858 0.858 0.858
9 C 0.000 0.000 0.500
10 C 0.000 0.500 0.000
11 C 0.500 0.000 0.000
12 C 0.500 0.500 0.500



Arrangement x

Below is a relaxed Sb2C crystal, with properties calculated at the GGA-PBE level.

Values from the calculation:
The symmetry is No. 194. As for the crystal system: hexagonal.

Cell: 3.309 3.309 13.159 Å, 90.00 90.00 120.00°
Fractional positions:
1 Sb 0.333 0.667 0.114
2 Sb 0.333 0.667 0.386
3 Sb 0.667 0.333 0.614
4 Sb 0.667 0.333 0.886
5 C 0.000 0.000 0.000
6 C 0.000 0.000 0.500



Which of them is the most stable? Correct choice: arrangement x.



Arrangement w

Below is a relaxed Sb2C crystal, with properties calculated at the GGA-PBE level.

Values from the calculation:
The symmetry is No. 164. As for the crystal system: trigonal.

Cell: 3.354 3.354 22.055 Å, 90.00 90.00 120.00°
Fractional positions:
1 Sb 0.000 0.000 0.114
2 Sb 0.000 0.000 0.886
3 Sb 0.333 0.667 0.568
4 Sb 0.333 0.667 0.739
5 Sb 0.667 0.333 0.261
6 Sb 0.667 0.333 0.432
7 C 0.000 0.000 0.500
8 C 0.333 0.667 0.838
9 C 0.667 0.333 0.162



Arrangement x

Below is a relaxed Sb2C crystal, with properties calculated at the GGA-PBE level.

Values from the calculation:
The symmetry is No. 162. As for the crystal system: trigonal.

Cell: 6.383 6.383 5.122 Å, 90.00 90.00 120.00°
Fractional positions:
1 Sb 0.000 0.336 0.244
2 Sb 0.000 0.664 0.756
3 Sb 0.336 0.000 0.244
4 Sb 0.336 0.336 0.756
5 Sb 0.664 0.000 0.756
6 Sb 0.664 0.664 0.244
7 C 0.000 0.000 0.000
8 C 0.333 0.667 0.500
9 C 0.667 0.333 0.500



Which of them is the most stable? Correct choice: arrangement w.



Arrangement w

Below is a relaxed SbC3 crystal, with properties calculated at the GGA-PBE level.

Values from the calculation:
The symmetry is No. 223. As for the crystal system: cubic.

Cell: 4.459 4.459 4.459 Å, 90.00 90.00 90.00°
Fractional positions:
1 Sb 0.000 0.000 0.000
2 Sb 0.500 0.500 0.500
3 C 0.000 0.250 0.500
4 C 0.000 0.750 0.500
5 C 0.250 0.500 0.000
6 C 0.500 0.000 0.250
7 C 0.500 0.000 0.750
8 C 0.750 0.500 0.000



Arrangement x

Below is a relaxed SbC3 crystal, with properties calculated at the GGA-PBE level.

Values from the calculation:
The symmetry is No. 71. As for the crystal system: orthorhombic.

Cell: 4.637 4.637 4.637 Å, 147.18 113.11 76.53°
Fractional positions:
1 Sb 0.000 0.000 0.000
2 C 0.372 0.872 0.500
3 C 0.500 0.500 0.000
4 C 0.628 0.128 0.500



Which of them is the most stable? Correct choice: arrangement x.